Entry from Alexandria via LeMat-Bulk: a relaxed CoNi2Pt5 crystal (PBE).

abc: 6.4926 6.4926 7.1151
angles: 117.15 117.15 90.00
Fractional coordinates of all 16 atoms:
1 Pt 0.6868 0.1868 0.6844
2 Pt 0.5000 0.5000 0.0000
3 Pt 0.9976 0.4976 0.6844
4 Pt 0.5024 0.3132 0.3156
5 Co 0.2500 0.2500 0.5000
6 Pt 0.0000 0.0000 0.0000
7 Pt 0.3132 0.8132 0.3156
8 Pt 0.8132 0.0024 0.3156
9 Ni 0.8634 0.6366 0.0000
10 Pt 0.4976 0.6868 0.6844
11 Pt 0.0024 0.5024 0.3156
12 Ni 0.3634 0.8634 0.0000
13 Ni 0.1366 0.3634 0.0000
14 Ni 0.6366 0.1366 0.0000
15 Pt 0.1868 0.9976 0.6844
16 Co 0.7500 0.7500 0.5000

Properties
Offset from the most stable computed form   0.0113 eV per atom
Energy of formation   0.06 eV per atom
Total energy   -96.7 eV/cell